Record 1
A plane-wave DFT calculation with PBE was carried out for a geometry-optimized La2Nd2CCl4F structure.

Lattice parameters (Å, degrees): 9.101 9.101 7.596 104.23 104.23 23.87
Last column: magnetic moment on the atom in μB.
Atoms (fractional coordinates):
1 La 0.650 0.650 0.096  0.07
2 La 0.350 0.350 0.904  0.07
3 C 0.500 0.500 0.000  0.00
4 Nd 0.998 0.998 0.235  0.00
5 Nd 0.002 0.002 0.765  0.00
6 Cl 0.832 0.832 0.181  0.00
7 Cl 0.168 0.168 0.819  0.00
8 Cl 0.160 0.160 0.381  0.00
9 Cl 0.840 0.840 0.619  0.00
10 F 0.500 0.500 0.500  0.00

## Properties
- Size of the total moment: 0.0304 μB/atom
- Raw total energy: -0.41537 Ry/atom


Record 2
A plane-wave DFT calculation with PBE was carried out for a geometry-optimized La2Sm2CCl2F3 structure.

Lattice parameters (Å, degrees): 8.129 8.129 7.056 107.16 107.16 25.78
Atoms (fractional coordinates):
1 Sm 0.979 0.979 0.226
2 Sm 0.021 0.021 0.774
3 F 0.180 0.180 0.921
4 F 0.820 0.820 0.079
5 F 0.500 0.500 0.500
6 La 0.670 0.670 0.170
7 La 0.330 0.330 0.830
8 Cl 0.154 0.154 0.479
9 Cl 0.846 0.846 0.521
10 C 0.500 0.500 0.000

## Properties
- Size of the total moment: 0.0041 μB/atom
- Raw total energy: -0.44607 Ry/atom


Record 3
A plane-wave DFT calculation with PBE was carried out for a geometry-optimized Nd4CCl4F structure.

Lattice parameters (Å, degrees): 8.997 8.997 7.543 103.34 103.34 24.05
Atoms (fractional coordinates):
1 Cl 0.170 0.170 0.821
2 Cl 0.163 0.163 0.369
3 Cl 0.837 0.837 0.631
4 Cl 0.830 0.830 0.179
5 Nd 0.002 0.002 0.764
6 Nd 0.353 0.353 0.913
7 Nd 0.998 0.998 0.236
8 Nd 0.647 0.647 0.087
9 C 0.500 0.500 0.000
10 F 0.500 0.500 0.500

## Properties
- Size of the total moment: 0.0105 μB/atom
- Raw total energy: -0.41165 Ry/atom


Record 4
A plane-wave DFT calculation with PBE was carried out for a geometry-optimized Nd4CCl2F3 structure.

Lattice parameters (Å, degrees): 8.058 8.058 7.039 105.53 105.53 26.34
Last column: magnetic moment on the atom in μB.
Atoms (fractional coordinates):
1 Nd 0.976 0.976 0.229  0.00
2 Nd 0.024 0.024 0.771  0.00
3 Nd 0.665 0.665 0.159  0.08
4 Nd 0.335 0.335 0.841  0.08
5 Cl 0.157 0.157 0.463  0.00
6 Cl 0.843 0.843 0.537  0.00
7 F 0.815 0.815 0.069  0.01
8 F 0.500 0.500 0.500  0.00
9 F 0.185 0.185 0.931  0.01
10 C 0.500 0.500 0.000  0.00

## Properties
- Size of the total moment: 0.0329 μB/atom
- Raw total energy: -0.44090 Ry/atom


Record 5
A plane-wave DFT calculation with PBE was carried out for a geometry-optimized Pr2Nd2CClF4 structure.

Lattice parameters (Å, degrees): 7.843 7.843 7.974 115.78 115.78 27.74
Atoms (fractional coordinates):
1 Pr 0.005 0.005 0.220
2 Pr 0.995 0.995 0.780
3 Cl 0.500 0.500 0.500
4 F 0.180 0.180 0.943
5 F 0.809 0.809 0.653
6 F 0.820 0.820 0.057
7 F 0.191 0.191 0.347
8 Nd 0.321 0.321 0.851
9 Nd 0.679 0.679 0.149
10 C 0.500 0.500 0.000

## Properties
- Size of the total moment: 0.0002 μB/atom
- Raw total energy: -0.45636 Ry/atom


Record 6
A plane-wave DFT calculation with PBE was carried out for a geometry-optimized Nd2Sm2C2Cl2F3 structure.

Lattice parameters (Å, degrees): 8.478 8.478 6.796 104.17 104.17 25.23
Atoms (fractional coordinates):
1 C 0.544 0.544 0.045
2 C 0.456 0.456 0.955
3 Nd 0.019 0.019 0.773
4 Nd 0.981 0.981 0.227
5 F 0.811 0.811 0.048
6 F 0.500 0.500 0.500
7 F 0.189 0.189 0.952
8 Cl 0.157 0.157 0.474
9 Cl 0.843 0.843 0.526
10 Sm 0.680 0.680 0.176
11 Sm 0.320 0.320 0.824

## Properties
- Size of the total moment: 0.0030 μB/atom
- Raw total energy: -0.46690 Ry/atom


Question: Look up the raw total energy of the third one.
Answer: -0.41165 Ry/atom


Question: What is the formula in the third record?
Answer: Nd4CCl4F